ZrCdRh2 | PBEsol | optimized geometry

Results
**Total magnetization**: 0.00 μB per formula unit
**Space-group type**: No. 123
**ΔH_f (0 K)**: -0.603 eV per atom

Cell and atoms, written as POSCAR:
```
ZrCdRh2
1.0
-0.825 -2.930 -1.182
2.272 -1.399 1.883
-4.149 -0.656 4.521
Cd Zr Rh
1 1 2
direct
0.500 0.500 0.500
0.500 0.500 0.000
0.000 0.000 0.759
0.000 0.000 0.241
```